[1]
A plane-wave DFT calculation with GGA-PBE was carried out for an optimized crystal structure of TbPrN.

Lattice parameters (Å, degrees): 4.7805 4.7805 5.1877 117.44 117.44 90.00
Atoms (fractional coordinates):
Tb (0.8814, 0.8814, 0.7627)
Pr (0.3472, 0.3472, 0.6944)
N (0.6214, 0.6214, 0.2428)

Calculated values
Formation energy (no corrections) = 0.57 eV per formula unit
Excess energy over the best structure of this formula in the dataset = 106.6 kJ/mol of atoms
Crystal system = tetragonal
Space-group type = I4mm
M_tot = 0.0000 μB per atom
Calculated total energy = -5.72 eV per atom


[2]
A plane-wave DFT calculation with GGA-PBE was carried out for an optimized crystal structure of Tb2Pr3N4.

Lattice parameters (Å, degrees): 3.5932 3.5932 15.1501 90.06 89.94 119.99
Atoms (fractional coordinates):
N (0.0008, 0.9992, 0.7077)
N (0.9992, 0.0008, 0.2923)
N (0.3336, 0.6664, 0.8949)
N (0.6664, 0.3336, 0.1051)
Tb (0.3328, 0.6672, 0.1893)
Tb (0.6672, 0.3328, 0.8107)
Pr (0.6657, 0.3343, 0.3788)
Pr (0.0000, 0.0000, 0.0000)
Pr (0.3343, 0.6657, 0.6212)

Calculated values
Formation energy (no corrections) = -11.52 eV per formula unit
Crystal system = monoclinic
Space-group type = C2/m
M_tot = 0.0000 μB per atom
Calculated total energy = -7.60 eV per atom


[3]
A plane-wave DFT calculation with GGA-PBE was carried out for an optimized crystal structure of TbPrN.

Lattice parameters (Å, degrees): 4.3732 4.3732 4.3732 60.00 60.00 60.00
Atoms (fractional coordinates):
Pr (0.0000, 0.0000, 0.0000)
N (0.2500, 0.2500, 0.2500)
Tb (0.5000, 0.5000, 0.5000)

Calculated values
Formation energy (no corrections) = -0.88 eV per formula unit
Excess energy over the best structure of this formula in the dataset = 59.8 kJ/mol of atoms
Crystal system = cubic
Space-group type = F-43m
M_tot = 0.0000 μB per atom
Calculated total energy = -6.21 eV per atom


[4]
A plane-wave DFT calculation with GGA-PBE was carried out for an optimized crystal structure of Tb4PrN5.

Lattice parameters (Å, degrees): 3.5417 3.5417 12.7644 97.97 97.97 90.00
Atoms (fractional coordinates):
Pr (0.0000, 0.0000, 0.0000)
N (0.7004, 0.7004, 0.4009)
N (0.8962, 0.8962, 0.7925)
N (0.2996, 0.2996, 0.5991)
N (0.1038, 0.1038, 0.2075)
N (0.5000, 0.5000, 0.0000)
Tb (0.6031, 0.6031, 0.2063)
Tb (0.7991, 0.7991, 0.5983)
Tb (0.2009, 0.2009, 0.4017)
Tb (0.3969, 0.3969, 0.7937)

Calculated values
Formation energy (no corrections) = -15.64 eV per formula unit
Crystal system = tetragonal
Space-group type = I4/mmm
M_tot = 0.0000 μB per atom
Calculated total energy = -8.06 eV per atom


[5]
A plane-wave DFT calculation with GGA-PBE was carried out for an optimized crystal structure of Tb3Pr2N4.

Lattice parameters (Å, degrees): 3.5486 6.1845 8.1433 75.04 77.42 73.33
Atoms (fractional coordinates):
Pr (0.3965, 0.8216, 0.3855)
Pr (0.6035, 0.1784, 0.6145)
N (0.3934, 0.3035, 0.9098)
N (0.6066, 0.6965, 0.0902)
N (0.8030, 0.1039, 0.2902)
N (0.1970, 0.8961, 0.7098)
Tb (0.7900, 0.6013, 0.8187)
Tb (0.0000, 0.0000, 0.0000)
Tb (0.2100, 0.3987, 0.1813)

Calculated values
Formation energy (no corrections) = -12.04 eV per formula unit
Crystal system = monoclinic
Space-group type = C2/m
M_tot = 0.0508 μB per atom
Calculated total energy = -7.64 eV per atom


[6]
A plane-wave DFT calculation with GGA-PBE was carried out for an optimized crystal structure of TbPrN.

Lattice parameters (Å, degrees): 6.3552 3.5757 3.5757 120.00 90.00 90.00
Atoms (fractional coordinates):
N (0.0202, 0.0000, 0.0000)
Tb (0.2066, 0.3333, 0.6667)
Pr (0.7731, 0.6667, 0.3333)

Calculated values
Formation energy (no corrections) = -2.74 eV per formula unit
Excess energy over the best structure of this formula in the dataset = 0.0 kJ/mol of atoms
Crystal system = trigonal
Space-group type = P3m1
M_tot = 0.1296 μB per atom
Calculated total energy = -6.83 eV per atom


Question: Number 2 is which compound?
Answer: Tb2Pr3N4


Question: Among the records above, which one has the lowest formation energy (no corrections)?
Answer: Tb4PrN5


Question: The highest calculated total energy belongs to which entry?
Answer: number 1